DFT (GGA-PBE) results for an optimized crystal structure of Ta2TcF4.

Cell: 3.9541 3.9541 8.9434 Å, 77.23 77.23 90.00°
Site moments in Bohr magnetons follow the coordinates.
Fractional positions:
Ta  0.6128  0.6128  0.7744  0.81
F  0.2789  0.2789  0.4421  0.01
Ta  0.3872  0.3872  0.2256  0.81
Tc  0.0000  0.0000  0.0000  -0.75
F  0.0000  0.5000  0.0000  -0.01
F  0.7211  0.7211  0.5579  0.01
F  0.5000  0.0000  0.0000  -0.01

Values from the calculation:
E_form (uncorrected) in eV/atom: -0.20
Space-group type: I4/mmm, No. 139
Final energy in eV for the cell shown: -42.9
DOS(E_F) in states/eV per atom: 0.876